Entry 1:
MgFeAs2P | GGA-PBE | relaxed

The final energy comes out at -4.4487 eV/atom. Its size of the total moment is 0.000 μB/f.u. As for the density: 4.37 g/cm³. For the formation energy, the calculation gives 504.6 meV per atom.

The space group is P4/mmm (No. 123) and the conventional cell measures 4.9324, 4.9324 and 4.0769 Å, with angles of 90.00, 90.00 and 90.00 degrees. The asymmetric unit holds Mg at (0.0000, 0.0000, 0.0000), Fe at (0.5000, 0.5000, 0.0000), As at (0.0000, 0.5000, 0.5000) and P at (0.5000, 0.5000, 0.5000).

=====

Entry 2:
Rb2MgFeAs | GGA-PBE | relaxed

The final energy comes out at -2.8119 eV/atom. Its size of the total moment is 3.224 μB/f.u. As for the density: 2.32 g/cm³. For the formation energy, the calculation gives 516.5 meV per atom.

The space group is P4/mmm (No. 123) and the conventional cell measures 6.8891, 6.8891 and 4.9119 Å, with angles of 90.00, 90.00 and 90.00 degrees. The asymmetric unit holds Rb at (0.0000, 0.5000, 0.0000), Mg at (0.0000, 0.0000, 0.5000), Fe at (0.5000, 0.5000, 0.5000) and As at (0.0000, 0.0000, 0.0000).

=====

Entry 3:
Mg2FeAs2Rh | GGA-PBE | relaxed

The final energy comes out at -5.1697 eV/atom. Its size of the total moment is 0.000 μB/f.u. As for the density: 6.01 g/cm³. For the formation energy, the calculation gives -452.6 meV per atom.

The space group is Ibam (No. 72) and the conventional cell measures 5.7037, 12.1696 and 5.6871 Å, with angles of 90.00, 90.00 and 90.00 degrees. The asymmetric unit holds Mg at (0.2358, 0.1578, 0.0000), Fe at (0.0000, 0.5000, 0.2500), As at (0.2208, 0.3812, 0.0000) and Rh at (0.0000, 0.0000, 0.2500).

=====

Entry 4:
Mg2FeAs2Ru | GGA-PBE | relaxed

The final energy comes out at -5.3960 eV/atom. Its size of the total moment is 0.001 μB/f.u. As for the density: 5.95 g/cm³. For the formation energy, the calculation gives -358.2 meV per atom.

The space group is Ibam (No. 72) and the conventional cell measures 5.7557, 11.9251 and 5.7764 Å, with angles of 90.00, 90.00 and 90.00 degrees. The asymmetric unit holds Mg at (0.2488, 0.1579, 0.0000), Fe at (0.0000, 0.5000, 0.2500), As at (0.2331, 0.3856, 0.0000) and Ru at (0.0000, 0.0000, 0.2500).

=====

Entry 5:
MgFeAsSe2 | GGA-PBE | relaxed

The final energy comes out at -4.2279 eV/atom. The energy relative to the lowest polymorph listed for this composition comes out at 0.0 kJ/mol of atoms. As for the uncorrected formation energy: 0.5 eV/f.u. Its size of the total moment is 1.656 μB/f.u. As for the density: 4.79 g/cm³.

The space group is P4/mmm (No. 123) and the conventional cell measures 4.9920, 4.9920 and 4.3518 Å, with angles of 90.00, 90.00 and 90.00 degrees. The asymmetric unit holds Mg at (0.0000, 0.0000, 0.0000), Fe at (0.5000, 0.5000, 0.5000), As at (0.5000, 0.5000, 0.0000) and Se at (0.0000, 0.5000, 0.5000).

=====

Entry 6:
MgFeAs2Se | GGA-PBE | relaxed

The final energy comes out at -3.3420 eV/atom. The energy relative to the lowest polymorph listed for this composition comes out at 108.0 kJ/mol of atoms. As for the uncorrected formation energy: 6.1 eV/f.u. Its size of the total moment is 0.032 μB/f.u. As for the density: 4.36 g/cm³.

The space group is P4/mmm (No. 123) and the conventional cell measures 4.8762, 4.8762 and 4.9435 Å, with angles of 90.00, 90.00 and 90.00 degrees. The asymmetric unit holds Mg at (0.0000, 0.0000, 0.0000), Fe at (0.5000, 0.5000, 0.5000), As at (0.0000, 0.5000, 0.0000) and Se at (0.0000, 0.0000, 0.5000).

=====

Entry 7:
MgFeAs2Se | GGA-PBE | relaxed

The final energy comes out at -4.4609 eV/atom. The energy relative to the lowest polymorph listed for this composition comes out at 0.0 kJ/mol of atoms. As for the uncorrected formation energy: 0.5 eV/f.u. Its size of the total moment is 0.000 μB/f.u. As for the density: 4.83 g/cm³.

The space group is P4/mmm (No. 123) and the conventional cell measures 4.3799, 4.3799 and 5.5370 Å, with angles of 90.00, 90.00 and 90.00 degrees. The asymmetric unit holds Mg at (0.0000, 0.0000, 0.0000), Fe at (0.5000, 0.5000, 0.5000), As at (0.0000, 0.5000, 0.5000) and Se at (0.5000, 0.5000, 0.0000).

=====

Entry 8:
MgFeAsSe2 | GGA-PBE | relaxed

The final energy comes out at -3.5849 eV/atom. The energy relative to the lowest polymorph listed for this composition comes out at 62.0 kJ/mol of atoms. As for the uncorrected formation energy: 3.8 eV/f.u. Its size of the total moment is 3.176 μB/f.u. As for the density: 4.23 g/cm³.

The space group is P4/mmm (No. 123) and the conventional cell measures 4.9966, 4.9966 and 4.9204 Å, with angles of 90.00, 90.00 and 90.00 degrees. The asymmetric unit holds Mg at (0.0000, 0.0000, 0.0000), Fe at (0.5000, 0.5000, 0.5000), As at (0.0000, 0.0000, 0.5000) and Se at (0.0000, 0.5000, 0.0000).

=====

What is the size of the total moment in the eighth record?
3.176 μB/f.u.

=====

What is the formula in the third record?
Mg2FeAs2Rh

=====

Among the records above, which one has the highest final energy?
Rb2MgFeAs

=====

Look up the size of the total moment of the fourth one.
0.001 μB/f.u.